A relaxed structure of SbTe2HI, computed with PBE.

- Space-group type: P4/mmm, No. 123
- Relative energy among the computed polymorphs: 0 meV/atom
- Total magnetic moment: 0.0 μB/f.u.
- Mass density: 5.968 g cm⁻³
- Density of states at the Fermi level: 4.40 states/eV/f.u.
- Uncorrected energy: -2.586 eV per atom

Cell lengths 4.4435, 4.4435, 7.1149 Å; angles 90.00, 90.00, 90.00 degrees
With the nearest neighbours (Å) after each atom.
Element x y z (fractional)
1 Te 0.0000 0.5000 0.0000  2 H 2.22
2 I 0.5000 0.5000 0.5000  4 Sb 3.14
3 Sb 0.0000 0.0000 0.5000  4 I 3.14
4 H 0.0000 0.0000 0.0000  4 Te 2.22
5 Te 0.5000 0.0000 0.0000  2 H 2.22